Here is crystalline YNi2PbO6 at its relaxed geometry from Alexandria via LeMat-Bulk. Energies are from PBE+U.

Unit cell a=5.4955 b=5.6556 c=5.3840 alpha=61.29 beta=60.77 gamma=56.39
Last column: nearest neighbours and their distance in Å.
Sites, in units of the cell vectors:
O1 0.7108 0.1783 0.7719  2 Ni 1.89-2.03
Ni1 0.5123 0.5138 0.4536  6 O 2.01-2.15
Pb1 0.2913 0.2339 0.1698  6 O 2.12-2.34
Y1 0.7438 0.7970 0.6749  5 O 2.19-2.36
O2 0.3356 0.8370 0.1235  2 Ni 1.94-2.01
Ni2 0.0171 0.0264 0.9420  4 O 1.89-1.94
O3 0.8962 0.6256 0.2545  1 Pb 2.12, 2 Ni 2.15-2.31
O4 0.6848 0.1991 0.2557  2 Ni 1.93-2.04
O5 0.3188 0.8630 0.6174  2 Ni 1.92-2.06
O6 0.1510 0.3874 0.7518  2 Ni 2.09-2.16, 1 Y 2.19, 1 Pb 2.34

Symmetry = P1 (1)
Calculated total energy = -6.00 eV per atom